Record 1
A plane-wave DFT calculation with GGA-PBE was carried out for a relaxed structure of P3Ir2Au.

Unit cell a=3.7117 b=4.1126 c=7.6080 alpha=82.32 beta=77.36 gamma=63.67
Atoms (fractional coordinates):
P 0.0000 0.0000 0.0000
P 0.1520 0.1178 0.2772
P 0.6328 0.6346 0.6844
Ir 0.1073 0.5013 0.8616
Ir 0.4865 0.4908 0.1543
Au 0.5375 0.1974 0.5150

- Volume: 16.91 Å³/atom
- Energy: -6.33 eV/atom
- SG: P1
- Polymorph energy (0 for the lowest one): 142 meV per atom
- Crystal system: triclinic
- Formation enthalpy at 0 K: -0.122 eV/atom

***

Record 2
A plane-wave DFT calculation with GGA-PBE was carried out for a relaxed structure of KTiF4.

Unit cell a=7.1928 b=7.1928 c=5.1042 alpha=107.76 beta=107.76 gamma=113.07
Atoms (fractional coordinates):
K 0.1725 0.8275 0.7500
K 0.8275 0.1725 0.2500
Ti 0.4358 0.5642 0.2500
Ti 0.5642 0.4358 0.7500
F 0.1658 0.5122 0.2809
F 0.2635 0.3751 0.7650
F 0.3751 0.2635 0.2650
F 0.4878 0.8342 0.2191
F 0.5122 0.1658 0.7809
F 0.6249 0.7365 0.7350
F 0.7365 0.6249 0.2350
F 0.8342 0.4878 0.7191

- Volume: 16.86 Å³/atom
- Energy: -5.92 eV/atom
- E_form (uncorrected): -3.1726 eV/atom
- SG: C2/c
- Polymorph energy (0 for the lowest one): 29 meV per atom
- Crystal system: monoclinic